(1)
Entry from Alexandria: a relaxed structure of Th3Ga11 (PBE).

a b c (Å): 8.5346 8.5346 8.5346
angles (deg): 151.07 103.92 83.35
With the nearest neighbours (Å) after each atom.
Sites, in units of the cell vectors:
Th  0.0000  0.0000  0.0000  12 Ga 3.23-3.41
Th  0.3189  0.3189  0.0000  12 Ga 3.14-3.24
Th  0.6811  0.6811  0.0000  12 Ga 3.14-3.24
Ga  0.0338  0.6598  0.3741  5 Ga 2.63-2.70
Ga  0.1258  0.8541  0.2717  5 Ga 2.63-2.84
Ga  0.2857  0.6598  0.6259  5 Ga 2.63-2.70
Ga  0.2914  0.5000  0.7914  6 Ga 2.68-2.84
Ga  0.4176  0.1459  0.2717  5 Ga 2.63-2.84
Ga  0.5000  0.0000  0.5000  8 Ga 3.04-3.06, 4 Th 3.14
Ga  0.5824  0.8541  0.7283  5 Ga 2.63-2.84
Ga  0.7086  0.5000  0.2086  6 Ga 2.68-2.84
Ga  0.7143  0.3402  0.3741  5 Ga 2.63-2.70
Ga  0.8742  0.1459  0.7283  5 Ga 2.63-2.84
Ga  0.9662  0.3402  0.6259  5 Ga 2.63-2.70

Values from the calculation:
Total magnetic moment: 0.0 μB per cell
Formation energy: -543 kJ/mol of formula units

***

(2)
Entry from Alexandria: a relaxed structure of Th5Ga4 (PBE).

a b c (Å): 6.0812 6.0812 10.2234
angles (deg): 110.53 110.53 43.38
With the nearest neighbours (Å) after each atom.
Sites, in units of the cell vectors:
Th  0.0000  0.0000  0.0000  4 Ga 3.02
Th  0.1076  0.1076  0.3900  7 Ga 3.14-3.36
Th  0.2477  0.2477  0.8370  6 Ga 3.17-3.42, 2 Th 3.52
Th  0.7523  0.7523  0.1630  6 Ga 3.17-3.42, 2 Th 3.52
Th  0.8924  0.8924  0.6100  7 Ga 3.14-3.36
Ga  0.3878  0.3878  0.3931  2 Ga 2.63-2.65
Ga  0.4534  0.4534  0.1724  1 Ga 2.63
Ga  0.5466  0.5466  0.8276  1 Ga 2.63
Ga  0.6122  0.6122  0.6069  2 Ga 2.63-2.65

Values from the calculation:
Total magnetic moment: 0.0 μB per cell
Formation energy: -384 kJ/mol of formula units

***

(3)
Entry from Alexandria: a relaxed structure of ThGa2 (PBE).

a b c (Å): 5.6754 5.6754 5.6754
angles (deg): 60.00 60.00 60.00
With the nearest neighbours (Å) after each atom.
Sites, in units of the cell vectors:
Th  0.1250  0.1250  0.1250  12 Ga 3.33, 4 Th 3.48
Th  0.8750  0.8750  0.8750  12 Ga 3.33, 4 Th 3.48
Ga  0.0000  0.5000  0.5000  6 Ga 2.84
Ga  0.5000  0.0000  0.5000  6 Ga 2.84
Ga  0.5000  0.5000  0.0000  6 Ga 2.84
Ga  0.5000  0.5000  0.5000  6 Ga 2.84

Values from the calculation:
Total magnetic moment: 0.0 μB per cell
Formation energy: -129 kJ/mol of formula units

***

(4)
Entry from Alexandria: a relaxed structure of Th3Ga2 (PBE).

a b c (Å): 8.0096 8.0096 4.2252
angles (deg): 90.00 90.00 90.00
With the nearest neighbours (Å) after each atom.
Sites, in units of the cell vectors:
Th  0.0000  0.0000  0.0000  4 Ga 3.20
Th  0.1763  0.3237  0.5000  6 Ga 3.14-3.20
Th  0.3237  0.8237  0.5000  6 Ga 3.14-3.20
Th  0.5000  0.5000  0.0000  4 Ga 3.20
Th  0.6763  0.1763  0.5000  6 Ga 3.14-3.20
Th  0.8237  0.6763  0.5000  6 Ga 3.14-3.20
Ga  0.1184  0.6184  0.0000  1 Ga 2.68
Ga  0.3816  0.1184  0.0000  1 Ga 2.68
Ga  0.6184  0.8816  0.0000  1 Ga 2.68
Ga  0.8816  0.3816  0.0000  1 Ga 2.68

Values from the calculation:
Relative energy among the computed polymorphs: 0 meV per atom
Total magnetic moment: 0.0 μB per cell
Formation energy: -195 kJ/mol of formula units

***

> Which formula does entry 2 have?

Th5Ga4

***

> Which value of total magnetic moment does entry 3 give?

0.0 μB per cell

***

> Which value of total magnetic moment does entry 3 give?

0.0 μB per cell